Entry 1:
A plane-wave DFT calculation with PBE was carried out for a relaxed SrLi2Cd4Ag crystal.

## Properties
**Electronic total energy**: -40.97 eV per cell
**Energy of formation from the pure elements**: -0.2045 eV per atom
**Crystal system**: trigonal

Cell: 4.7123 4.7123 29.7828 Å, 90.00 90.00 120.00°
Space group R-3m (No. 166, hexagonal axes)
Asymmetric unit:
Sr 0.0000 0.0000 0.0000 (multiplicity 3)
Li 0.0000 0.0000 0.2300 (multiplicity 6)
Cd 0.0000 0.0000 0.1298 (multiplicity 6)
Cd 0.0000 0.0000 0.4035 (multiplicity 6)
Ag 0.0000 0.0000 0.5000 (multiplicity 3)

=====

Entry 2:
A plane-wave DFT calculation with PBE was carried out for a relaxed Sr2Li3CdAg12 crystal.

## Properties
**Electronic total energy**: -132.58 eV per cell
**Energy of formation from the pure elements**: 0.0023 eV per atom
**Crystal system**: trigonal

Cell: 6.7276 6.7276 31.0223 Å, 90.00 90.00 120.00°
Space group R-3m (No. 166, hexagonal axes)
Asymmetric unit:
Sr 0.0000 0.0000 0.1420 (multiplicity 6)
Li 0.0000 0.5000 0.0000 (multiplicity 9)
Cd 0.0000 0.0000 0.5000 (multiplicity 3)
Ag 0.0273 0.5137 0.0973 (multiplicity 18)
Ag 0.0610 0.5305 0.6236 (multiplicity 18)

=====

Entry 3:
A plane-wave DFT calculation with PBE was carried out for a relaxed SrLiCd2Ag crystal.

## Properties
**Electronic total energy**: -8.74 eV per cell
**Energy of formation from the pure elements**: -0.0919 eV per atom
**Energy above the lowest structure with this stoichiometry**: 0.82 eV/f.u.
**Crystal system**: tetragonal

Cell: 5.338 5.338 4.959 Å, 90.00 90.00 90.00°
Space group P4/mmm (No. 123)
Asymmetric unit:
Sr 0.000 0.000 0.000 (multiplicity 1)
Li 0.500 0.500 0.000 (multiplicity 1)
Cd 0.000 0.500 0.500 (multiplicity 2)
Ag 0.500 0.500 0.500 (multiplicity 1)

=====

Entry 4:
A plane-wave DFT calculation with PBE was carried out for a relaxed Sr2LiCdAg6 crystal.

## Properties
**Electronic total energy**: -47.44 eV per cell
**Energy of formation from the pure elements**: -0.0422 eV per atom
**Crystal system**: monoclinic

Cell: 10.028 10.132 6.799 Å, 90.00 132.59 90.00°
Space group C2/m (No. 12)
Asymmetric unit:
Sr 0.000 0.215 0.000 (multiplicity 4)
Li 0.000 0.500 0.500 (multiplicity 2)
Cd 0.000 0.000 0.500 (multiplicity 2)
Ag 0.000 0.268 0.500 (multiplicity 4)
Ag 0.189 0.500 0.402 (multiplicity 4)
Ag 0.192 0.500 0.977 (multiplicity 4)

=====

Entry 5:
A plane-wave DFT calculation with PBE was carried out for a relaxed LiTbCd2Ag4 crystal.

## Properties
**Electronic total energy**: -64.51 eV per cell
**Energy of formation from the pure elements**: -0.2157 eV per atom
**Crystal system**: trigonal

Cell: 4.8411 4.8411 23.4776 Å, 90.00 90.00 120.00°
Space group R-3m (No. 166, hexagonal axes)
Asymmetric unit:
Li 0.0000 0.0000 0.0000 (multiplicity 3)
Tb 0.0000 0.0000 0.5000 (multiplicity 3)
Cd 0.0000 0.0000 0.2477 (multiplicity 6)
Ag 0.0000 0.0000 0.1130 (multiplicity 6)
Ag 0.0000 0.0000 0.3700 (multiplicity 6)

=====

Entry 6:
A plane-wave DFT calculation with PBE was carried out for a relaxed Li5TlCd2Ag2 crystal.

## Properties
**Electronic total energy**: -42.17 eV per cell
**Energy of formation from the pure elements**: -0.1614 eV per atom
**Crystal system**: tetragonal

Cell: 9.757 9.757 4.042 Å, 90.00 90.00 90.00°
Space group P4/mbm (No. 127)
Asymmetric unit:
Li 0.000 0.500 0.000 (multiplicity 2)
Li 0.086 0.197 0.000 (multiplicity 8)
Tl 0.000 0.000 0.500 (multiplicity 2)
Cd 0.171 0.671 0.500 (multiplicity 4)
Ag 0.123 0.377 0.500 (multiplicity 4)

=====

Copy entry 1 word for word.
A plane-wave DFT calculation with PBE was carried out for a relaxed SrLi2Cd4Ag crystal.

## Properties
**Electronic total energy**: -40.97 eV per cell
**Energy of formation from the pure elements**: -0.2045 eV per atom
**Crystal system**: trigonal

Cell: 4.7123 4.7123 29.7828 Å, 90.00 90.00 120.00°
Space group R-3m (No. 166, hexagonal axes)
Asymmetric unit:
Sr 0.0000 0.0000 0.0000 (multiplicity 3)
Li 0.0000 0.0000 0.2300 (multiplicity 6)
Cd 0.0000 0.0000 0.1298 (multiplicity 6)
Cd 0.0000 0.0000 0.4035 (multiplicity 6)
Ag 0.0000 0.0000 0.5000 (multiplicity 3)

=====

Copy entry 2 word for word.
A plane-wave DFT calculation with PBE was carried out for a relaxed Sr2Li3CdAg12 crystal.

## Properties
**Electronic total energy**: -132.58 eV per cell
**Energy of formation from the pure elements**: 0.0023 eV per atom
**Crystal system**: trigonal

Cell: 6.7276 6.7276 31.0223 Å, 90.00 90.00 120.00°
Space group R-3m (No. 166, hexagonal axes)
Asymmetric unit:
Sr 0.0000 0.0000 0.1420 (multiplicity 6)
Li 0.0000 0.5000 0.0000 (multiplicity 9)
Cd 0.0000 0.0000 0.5000 (multiplicity 3)
Ag 0.0273 0.5137 0.0973 (multiplicity 18)
Ag 0.0610 0.5305 0.6236 (multiplicity 18)

=====

> What is the formula in the fourth record?

Sr2LiCdAg6